# 1
First-principles (SCAN) data for a PBEsol-optimized structure of Mg6VH16, as listed in Alexandria via LeMat-Bulk.

a b c (Å): 9.3238 9.3238 9.3238
angles (deg): 90.00 90.00 90.00
With the nearest neighbours (Å) after each atom.
Space group Fm-3m (No. 225)
Asymmetric unit:
Mg  0.0000  0.2500  0.2500 x24  8 H 1.94-2.12
V  0.0000  0.0000  0.0000 x4  8 H 1.76
H  0.1092  0.1092  0.1092 x32  1 V 1.76
H  0.1432  0.1432  0.3568 x32  3 Mg 1.94

Calculated values
Total DFT energy (no corrections) (eV per atom): -4.628
Spin magnetization (μB/cell): 7.77

---

# 2
First-principles (SCAN) data for a PBEsol-optimized structure of BaBiF3, as listed in Alexandria via LeMat-Bulk.

a b c (Å): 5.0022 5.0022 5.0022
angles (deg): 90.00 90.00 90.00
With the nearest neighbours (Å) after each atom.
Space group Pm-3m (No. 221)
Asymmetric unit:
Ba  0.0000  0.0000  0.0000 x1  6 F 2.50
Bi  0.5000  0.5000  0.5000 x1  12 F 3.54
F  0.0000  0.0000  0.5000 x3  2 Ba 2.50

Calculated values
Total DFT energy (no corrections) (eV per atom): -27.938
Spin magnetization (μB/cell): 2.00

---

# 3
First-principles (SCAN) data for a PBEsol-optimized structure of SrLa2Tl, as listed in Alexandria via LeMat-Bulk.

a b c (Å): 3.9272 5.6451 12.5382
angles (deg): 90.00 90.00 90.00
With the nearest neighbours (Å) after each atom.
Space group Immm (No. 71)
Asymmetric unit:
Sr  0.0000  0.0000  0.0000 x2  4 Tl 3.44
La  0.0000  0.5000  0.2135 x4  2 Tl 3.32, 4 La 3.56
Tl  0.0000  0.0000  0.5000 x2  4 La 3.32, 4 Sr 3.44

Calculated values
Total DFT energy (no corrections) (eV per atom): -45.517
Spin magnetization (μB/cell): 0.00
ΔE to the lowest computed polymorph (meV per atom): 0
Energy relative to the elements (eV per atom): -0.306

---

# 4
First-principles (SCAN) data for a PBEsol-optimized structure of AlAu3, as listed in Alexandria via LeMat-Bulk.

a b c (Å): 5.7334 5.7334 4.5899
angles (deg): 90.00 90.00 120.00
With the nearest neighbours (Å) after each atom.
Space group P6_3/mmc (No. 194)
Asymmetric unit:
Al  0.3333  0.6667  0.2500 x2  12 Au 2.81-2.87
Au  0.1700  0.3400  0.7500 x6  8 Au 2.81-2.92, 4 Al 2.81-2.87

Calculated values
Total DFT energy (no corrections) (eV per atom): -54.101
Spin magnetization (μB/cell): 0.00
Energy relative to the elements (eV per atom): -0.295

---

# 5
First-principles (SCAN) data for a PBEsol-optimized structure of DyInPt, as listed in Alexandria via LeMat-Bulk.

a b c (Å): 7.5150 7.5150 3.8523
angles (deg): 90.00 90.00 120.00
With the nearest neighbours (Å) after each atom.
Space group P-62m (No. 189)
Asymmetric unit:
Dy  0.0000  0.5928  0.0000 x3  5 Pt 2.98-3.06, 6 In 3.16-3.30
In  0.0000  0.2593  0.5000 x3  4 Pt 2.74-2.82
Pt  0.0000  0.0000  0.0000 x1  6 In 2.74, 3 Dy 3.06
Pt  0.3333  0.6667  0.5000 x2  3 In 2.82, 6 Dy 2.98

Calculated values
Total DFT energy (no corrections) (eV per atom): -51.667
Spin magnetization (μB/cell): 0.00
Energy relative to the elements (eV per atom): -1.208

---

# 6
First-principles (SCAN) data for a PBEsol-optimized structure of ZrNi2Ir, as listed in Alexandria via LeMat-Bulk.

a b c (Å): 3.8127 3.8127 7.4964
angles (deg): 90.00 90.00 90.00
With the nearest neighbours (Å) after each atom.
Space group I4/mmm (No. 139)
Asymmetric unit:
Zr  0.0000  0.0000  0.0000 x2  8 Ni 2.67, 4 Ir 2.70
Ni  0.0000  0.5000  0.2500 x4  4 Zr 2.67, 4 Ir 2.67, 4 Ni 2.70
Ir  0.0000  0.0000  0.5000 x2  8 Ni 2.67, 4 Zr 2.70

Calculated values
Total DFT energy (no corrections) (eV per atom): -34.057
Spin magnetization (μB/cell): 2.19
Energy relative to the elements (eV per atom): -0.520